A plane-wave DFT calculation with GGA-PBE was carried out for crystalline LiPmBiRu at its relaxed geometry.

Crystal system: cubic
ΔH_f (0 K) in kJ per mole of atoms: -28.9
Total magnetic moment in μB per formula unit: 0.00
Calculated density in g/cm3: 9.45

a = 6.872 Å, b = 6.872 Å, c = 6.872 Å
α = 90.00°, β = 90.00°, γ = 90.00°
Space group F-43m (No. 216)
One atom of each set of equivalent atoms:
Li: 0.000 0.000 0.000 [4 per cell]
Pm: 0.250 0.250 0.750 [4 per cell]
Bi: 0.250 0.250 0.250 [4 per cell]
Ru: 0.000 0.000 0.500 [4 per cell]